No. 1
Density functional theory data (PBE) for an optimized crystal structure of TaIr2Pt.

Output
Its polymorph energy (0 for the lowest one) is 0.000 eV/atom. The calculation puts the energy of formation from the pure elements at -0.648 eV per atom. Its total magnetic moment is 0.000 μB per atom.

Cell: 3.981 3.981 3.878 Å, 90.00 90.00 90.00°
Space group P4/mmm (No. 123)
Unique sites:
Ta (0.000, 0.000, 0.000) [1 per cell]
Ir (0.000, 0.500, 0.500) [2 per cell]
Pt (0.500, 0.500, 0.000) [1 per cell]

***

No. 2
Density functional theory data (PBE) for an optimized crystal structure of SrTl2Re.

Output
Its polymorph energy (0 for the lowest one) is 0.017 eV/atom. The calculation puts the energy of formation from the pure elements at 0.588 eV per atom. Its total magnetic moment is 0.123 μB per atom.

Cell: 3.596 3.596 7.536 Å, 90.00 90.00 90.00°
Space group P4/mmm (No. 123)
Unique sites:
Sr (0.000, 0.000, 0.000) [1 per cell]
Tl (0.500, 0.500, 0.298) [2 per cell]
Re (0.000, 0.000, 0.500) [1 per cell]

***

No. 3
Density functional theory data (PBE) for an optimized crystal structure of NaCe2PaSb4.

Output
Its energy relative to the elements, uncorrected is -0.68 eV per atom. Its total magnetic moment is 0.093 μB per atom.

Cell: 7.709 4.489 7.732 Å, 90.00 109.19 90.00°
Space group P2/m (No. 10)
Unique sites:
Na (0.000, 0.000, 0.000) [1 per cell]
Ce (0.500, 0.000, 0.500) [1 per cell]
Ce (0.500, 0.500, 0.000) [1 per cell]
Pa (0.000, 0.500, 0.500) [1 per cell]
Sb (0.242, 0.000, 0.741) [2 per cell]
Sb (0.249, 0.500, 0.263) [2 per cell]

***

Q: Number 3 is which compound?
A: NaCe2PaSb4

***

Q: Which formula does entry 2 have?
A: SrTl2Re

***

Q: Which of these has the lowest total magnetic moment?
A: TaIr2Pt